# 1
# Sr2Cd15Pb2

Crystalline Sr2Cd15Pb2 at its relaxed geometry (GGA-PBE, Alexandria).

Computed properties:
The value obtained for the formation enthalpy at 0 K is -151 meV per atom.

Lattice parameters (Å, degrees): 10.5913 10.5913 14.8917 90.00 90.00 120.00
Last column: nearest neighbours and their distance in Å.
Space group R-3m (No. 166, hexagonal axes)
Symmetry-distinct sites (fractional):
Sr: 0.0000 0.0000 0.1610  1 Pb 3.50, 12 Cd 3.65-3.88
Cd: 0.0000 0.3113 0.5000  8 Cd 2.99-3.30
Cd: 0.0000 0.5000 0.0000  8 Cd 2.99-3.14, 2 Pb 3.20
Cd: 0.0170 0.5085 0.6544  8 Cd 2.92-3.15
Pb: 0.0000 0.0000 0.3961  1 Pb 3.10, 6 Cd 3.20-3.40

# 2
# Ba2SrMn

Crystalline Ba2SrMn at its relaxed geometry (GGA-PBE, Alexandria).

Computed properties:
The value obtained for the formation enthalpy at 0 K is 1033 meV per atom. As for the energy above the lowest structure with this stoichiometry: 713 meV per atom.

Lattice parameters (Å, degrees): 8.5066 8.5066 8.5066 90.00 90.00 90.00
Last column: nearest neighbours and their distance in Å.
Space group Fm-3m (No. 225)
Symmetry-distinct sites (fractional):
Ba: 0.2500 0.2500 0.2500  4 Mn 3.68, 4 Sr 3.68
Sr: 0.0000 0.0000 0.0000  8 Ba 3.68
Mn: 0.0000 0.0000 0.5000  8 Ba 3.68

# 3
# Dy4ErTl3

Crystalline Dy4ErTl3 at its relaxed geometry (GGA-PBE, Alexandria).

Computed properties:
The value obtained for the formation enthalpy at 0 K is -133 meV per atom.

Lattice parameters (Å, degrees): 3.5856 8.8492 14.8978 90.00 90.00 90.00
Last column: nearest neighbours and their distance in Å.
Space group Immm (No. 71)
Symmetry-distinct sites (fractional):
Dy: 0.0000 0.1991 0.1375  5 Tl 3.18-3.29, 1 Er 3.36, 1 Dy 3.52
Er: 0.0000 0.5000 0.0000  4 Tl 3.28, 4 Dy 3.36, 2 Er 3.59
Tl: 0.0000 0.0000 0.3154  6 Dy 3.18-3.29, 2 Er 3.28
Tl: 0.0000 0.5000 0.5000  8 Dy 3.24, 2 Tl 3.59

# 4
# AsRuRh2

Crystalline AsRuRh2 at its relaxed geometry (GGA-PBE, Alexandria).

Computed properties:
The value obtained for the formation enthalpy at 0 K is -4 meV per atom.

Lattice parameters (Å, degrees): 3.8381 3.8381 3.9016 90.00 90.00 90.00
Last column: nearest neighbours and their distance in Å.
Space group P4/mmm (No. 123)
Symmetry-distinct sites (fractional):
As: 0.0000 0.0000 0.0000  4 Ru 2.71, 8 Rh 2.74
Ru: 0.5000 0.5000 0.0000  4 As 2.71, 8 Rh 2.74
Rh: 0.0000 0.5000 0.5000  4 Rh 2.71, 4 As 2.74, 4 Ru 2.74

# 5
# PaHgSb2O8

Crystalline PaHgSb2O8 at its relaxed geometry (GGA-PBE, Alexandria).

Computed properties:
Its formation energy without anion corrections is -1.5930 eV/atom.

Lattice parameters (Å, degrees): 5.9684 5.9684 7.3975 90.00 90.00 120.00
Last column: nearest neighbours and their distance in Å.
Space group P-3 (No. 147)
Symmetry-distinct sites (fractional):
Pa: 0.0000 0.0000 0.0000  6 O 2.16
Hg: 0.0000 0.0000 0.5000  6 O 2.95
Sb: 0.3333 0.6667 0.2902  4 O 1.86-1.92
O: 0.1601 0.3328 0.1764  1 Sb 1.92
O: 0.3333 0.6667 0.5415  1 Sb 1.86

# 6
# LiY2Ag7

Crystalline LiY2Ag7 at its relaxed geometry (GGA-PBE, Alexandria).

Computed properties:
The value obtained for the formation enthalpy at 0 K is 165 meV per atom.

Lattice parameters (Å, degrees): 9.6376 9.6376 9.6376 90.00 90.00 90.00
Last column: nearest neighbours and their distance in Å.
Space group Fm-3m (No. 225)
Symmetry-distinct sites (fractional):
Li: 0.0000 0.0000 0.0000  6 Ag 2.24
Y: 0.2500 0.2500 0.2500  12 Ag 3.41
Ag: 0.0000 0.0000 0.2323  1 Li 2.24
Ag: 0.0000 0.0000 0.5000  6 Ag 2.58

no.,density of states at the Fermi level (states/eV/cell),final energy (eV/atom)
1,19.83,-1.441
2,59.85,-2.641
3,17.30,-3.892
4,4.66,-7.161
5,3.21,-6.402
6,17.59,-3.315